LaHoNiGe | PBE-GGA | relaxed

a b c (Å): 5.056 5.056 5.056
angles (deg): 60.00 60.00 60.00
Fractional positions:
Ge 0.250 0.250 0.250
Ni 0.750 0.750 0.750
Ho 0.000 0.000 0.000
La 0.500 0.500 0.500

final energy	-5.46	eV per atom
space-group type	No. 216